# 1
Li2MgCoCl6: relaxed, PBE.

Lattice parameters (Å, degrees): 6.3211 6.3213 6.7802 62.21 62.21 59.99
Sites, in units of the cell vectors:
Cl  0.0985  0.4242  0.7602
Mg  0.8215  0.8215  0.5353
Cl  0.2235  0.9336  0.2530
Li  0.0159  0.0160  0.9526
Cl  0.5898  0.2235  0.2530
Li  0.5158  0.5158  0.4529
Cl  0.4241  0.7171  0.7602
Cl  0.7171  0.0985  0.7603
Cl  0.9336  0.5899  0.2530
Co  0.3217  0.3217  0.0349

Summary:
Spin magnetization = 3.00 μB/f.u.
Space-group type = R3
ΔE_f (raw) = -1.395 eV/atom

=====

# 2
CePu2Hg2: relaxed, PBE.

Lattice parameters (Å, degrees): 5.9338 6.3153 8.4575 108.23 90.00 118.02
Sites, in units of the cell vectors:
Pu  0.9632  0.2224  0.9589
Hg  0.8565  0.3832  0.6458
Ce  0.3323  0.0000  0.7500
Ce  0.6677  0.0000  0.2500
Pu  0.2592  0.2224  0.4589
Pu  0.0368  0.7776  0.0411
Pu  0.7408  0.7776  0.5411
Hg  0.5268  0.3832  0.1458
Hg  0.1435  0.6168  0.3542
Hg  0.4732  0.6168  0.8542

Summary:
Electronic total energy = -7.14 eV/atom
Spin magnetization = 13.58 μB/f.u.
Space-group type = C2/c